TiI2O: relaxed, PBE-GGA.

## Properties
* uncorrected energy: -3.84 eV per atom

a b c (Å): 6.4933 6.4933 6.8409
angles (deg): 61.67 61.67 90.00
Atoms (fractional coordinates):
I (0.6195, 0.1250, 0.2500)
I (0.1305, 0.6250, 0.2500)
I (0.3750, 0.3805, 0.7500)
I (0.8750, 0.8695, 0.7500)
O (0.5000, 0.5000, 0.0000)
O (0.2500, 0.7500, 0.5000)
Ti (0.0000, 0.0000, 0.0000)
Ti (0.7500, 0.2500, 0.5000)